A plane-wave DFT calculation with GGA-PBE was carried out for an optimized crystal structure of Pm4PrTm3.

Cell: 13.305 13.305 3.609 Å, 90.00 90.00 155.08°
Fractional coordinates of all 8 atoms:
Pm: 0.106 0.894 0.000
Pm: 0.225 0.775 0.000
Pm: 0.775 0.225 0.000
Pm: 0.894 0.106 0.000
Pr: 0.000 0.000 0.500
Tm: 0.348 0.652 0.500
Tm: 0.500 0.500 0.000
Tm: 0.652 0.348 0.500

Values from the calculation:
- DOS(E_F): 12.88 states/eV/cell
- Electronic total energy: -4.425 eV/atom
- Formation enthalpy at 0 K: 173 kJ/mol of formula units
- Crystal system: orthorhombic
- Distance to the lowest polymorph of the same formula: 198 meV/atom